# 1
# CsBa2Al2S6 PBE optimized geometry
# volume = 36.70 Å³ per atom
# total moment = 0.999 μB/f.u.
# mass density = 2.69 g cm⁻³
# total DFT energy (no corrections) = -4.6312 eV/atom
data_CsBa2Al2S6
_space_group_name_H-M_alt 'P -1'
_space_group_IT_number 2
_space_group_name_Hall '-P 1'
_cell_length_a 7.721
_cell_length_b 8.021
_cell_length_c 8.117
_cell_angle_alpha 64.92
_cell_angle_beta 67.68
_cell_angle_gamma 66.44
loop_
_atom_site_label
_atom_site_type_symbol
_atom_site_fract_x
_atom_site_fract_y
_atom_site_fract_z
Cs1 Cs 0.000 0.000 0.000
Ba1 Ba 0.279 0.276 0.352
Al1 Al 0.298 0.548 0.738
S1 S 0.119 0.417 0.711
S2 S 0.290 0.848 0.601
S3 S 0.489 0.630 0.089

# 2
# YSiAs PBE optimized geometry
# volume = 21.10 Å³ per atom
# total moment = 0.000 μB/f.u.
# mass density = 5.03 g cm⁻³
# DOS at the Fermi energy = 1.0 states/eV/cell
# total DFT energy (no corrections) = -6.0429 eV/atom
data_YSiAs
_space_group_name_H-M_alt 'P -6 m 2'
_space_group_IT_number 187
_space_group_name_Hall 'P -6 2'
_cell_length_a 4.3668
_cell_length_b 4.3668
_cell_length_c 3.8336
_cell_angle_alpha 90.00
_cell_angle_beta 90.00
_cell_angle_gamma 120.00
loop_
_atom_site_label
_atom_site_type_symbol
_atom_site_fract_x
_atom_site_fract_y
_atom_site_fract_z
Y1 Y 0.0000 0.0000 0.0000
Si1 Si 0.3333 0.6667 0.5000
As1 As 0.6667 0.3333 0.5000

# 3
# Li3Ag PBE optimized geometry
# volume = 17.45 Å³ per atom
# total moment = 0.000 μB/f.u.
# energy of formation = -126 meV/atom
# mass density = 3.06 g cm⁻³
# DOS at the Fermi energy = 1.2 states/eV/cell
# energy above the lowest structure with this stoichiometry = 20 meV/atom
# total DFT energy (no corrections) = -2.2744 eV/atom
data_Li3Ag
_space_group_name_H-M_alt 'P 4/m m m'
_space_group_IT_number 123
_space_group_name_Hall '-P 4 2'
_cell_length_a 3.296
_cell_length_b 3.296
_cell_length_c 6.427
_cell_angle_alpha 90.00
_cell_angle_beta 90.00
_cell_angle_gamma 90.00
loop_
_atom_site_label
_atom_site_type_symbol
_atom_site_fract_x
_atom_site_fract_y
_atom_site_fract_z
Li1 Li 0.000 0.000 0.000
Li2 Li 0.500 0.500 0.274
Ag1 Ag 0.000 0.000 0.500

mass density of number 2 (YSiAs)? 5.03 g cm⁻³

mass density of number 2 (YSiAs)? 5.03 g cm⁻³

Which of these has the highest mass density? YSiAs